The following is a DFT calculation (PBE) of a relaxed structure of TbCeCuS4.

Summary:
DOS at the Fermi energy = 8.125 states/eV per cell
Formation energy from raw total energies = -1.505 eV per atom
SG = P2_1/m
Size of the total moment = 0.4 μB/f.u.

Geometry as POSCAR:
```
TbCeCuS4
1.0
6.4733 0.0000 0.0000
0.0000 6.0418 0.0000
-2.3285 0.0000 7.3480
Tb Ce Cu S
2 2 2 8
Direct
0.2435 0.2500 0.0621
0.7565 0.7500 0.9379
0.2502 0.2500 0.5640
0.7498 0.7500 0.4360
0.2461 0.7500 0.8070
0.7539 0.2500 0.1930
0.0151 0.5122 0.2530
0.0151 0.9878 0.2530
0.4394 0.7500 0.6091
0.4404 0.7500 0.1067
0.5596 0.2500 0.8933
0.5606 0.2500 0.3909
0.9849 0.0122 0.7470
0.9849 0.4878 0.7470
```

The following is a DFT calculation (PBE) of a relaxed structure of Tb2CeCuS5.

Summary:
DOS at the Fermi energy = 12.928 states/eV per cell
Formation energy from raw total energies = -1.674 eV per atom
SG = Cmc2_1
Size of the total moment = 0.9 μB/f.u.

Geometry as POSCAR:
```
Tb2CeCuS5
1.0
1.9093 -9.0853 0.0000
1.9093 9.0853 0.0000
0.0000 0.0000 11.1288
Tb Ce Cu S
4 2 2 10
Direct
0.0910 0.9090 0.5000
0.1111 0.8889 0.1266
0.8889 0.1111 0.6266
0.9090 0.0910 0.0000
0.1983 0.8017 0.8245
0.8017 0.1983 0.3245
0.4372 0.5628 0.2667
0.5628 0.4372 0.7667
0.0494 0.9506 0.8774
0.3016 0.6984 0.5099
0.3309 0.6691 0.1476
0.3606 0.6394 0.8219
0.4952 0.5048 0.5956
0.5048 0.4952 0.0956
0.6394 0.3606 0.3219
0.6691 0.3309 0.6476
0.6984 0.3016 0.0099
0.9506 0.0494 0.3774
```

The following is a DFT calculation (PBE) of a relaxed structure of Tb3Ce3CuS8.

Summary:
DOS at the Fermi energy = 17.772 states/eV per cell
Formation energy from raw total energies = -1.795 eV per atom
SG = R-3m
Size of the total moment = 2.5 μB/f.u.

Geometry as POSCAR:
```
Tb3Ce3CuS8
1.0
3.9340 2.2713 6.4624
-3.9340 2.2713 6.4624
0.0000 -4.5426 6.4624
Tb Ce Cu S
3 3 1 8
Direct
0.0000 0.5000 0.5000
0.5000 0.0000 0.5000
0.5000 0.5000 0.0000
0.0000 0.0000 0.5000
0.0000 0.5000 0.0000
0.5000 0.0000 0.0000
0.0000 0.0000 0.0000
0.2421 0.2421 0.7532
0.2421 0.7532 0.2421
0.2468 0.7579 0.7579
0.2532 0.2532 0.2532
0.7468 0.7468 0.7468
0.7532 0.2421 0.2421
0.7579 0.2468 0.7579
0.7579 0.7579 0.2468
```

The following is a DFT calculation (PBE) of a relaxed structure of Ce2Tl3CuS6.

Summary:
Formation energy from raw total energies = -1.018 eV per atom
SG = C2/m
Size of the total moment = 0.0 μB/f.u.

Geometry as POSCAR:
```
Ce2Tl3CuS6
1.0
3.3767 -6.3996 0.0000
3.3767 6.3996 0.0000
-2.0329 0.0000 7.3796
Ce Tl Cu S
2 3 1 6
Direct
0.1646 0.8354 0.0000
0.8354 0.1646 0.0000
0.0000 0.0000 0.5000
0.3490 0.6510 0.5000
0.6510 0.3490 0.5000
0.5000 0.5000 0.0000
0.0486 0.4348 0.7759
0.2576 0.2576 0.1524
0.4348 0.0486 0.7759
0.5652 0.9514 0.2241
0.7424 0.7424 0.8476
0.9514 0.5652 0.2241
```

The following is a DFT calculation (PBE) of a relaxed structure of Ce2TlCuS4.

Summary:
DOS at the Fermi energy = 24.448 states/eV per cell
Formation energy from raw total energies = -1.385 eV per atom
SG = Cmcm
Size of the total moment = 2.0 μB/f.u.

Geometry as POSCAR:
```
Ce2TlCuS4
1.0
2.0301 -7.0070 0.0000
2.0301 7.0070 0.0000
0.0000 0.0000 13.9350
Ce Tl Cu S
4 2 2 8
Direct
0.1321 0.8679 0.5591
0.1321 0.8679 0.9409
0.8679 0.1321 0.0591
0.8679 0.1321 0.4409
0.3939 0.6061 0.7500
0.6061 0.3939 0.2500
0.3348 0.6652 0.2500
0.6652 0.3348 0.7500
0.0747 0.9253 0.7500
0.2391 0.7609 0.1132
0.2391 0.7609 0.3868
0.5000 0.5000 0.0000
0.5000 0.5000 0.5000
0.7609 0.2391 0.6132
0.7609 0.2391 0.8868
0.9253 0.0747 0.2500
```

The following is a DFT calculation (PBE) of a relaxed structure of Ce3Tl3CuS8.

Summary:
DOS at the Fermi energy = 10.483 states/eV per cell
Formation energy from raw total energies = -1.125 eV per atom
SG = P-1
Size of the total moment = 0.5 μB/f.u.

Geometry as POSCAR:
```
Ce3Tl3CuS8
1.0
7.9540 0.0000 0.0000
3.6235 7.1019 0.0000
3.7352 2.2876 7.4374
Ce Tl Cu S
3 3 1 8
Direct
0.0000 0.0000 0.0000
0.0000 0.5000 0.0000
0.5000 0.0000 0.0000
0.0000 0.5000 0.5000
0.5000 0.0000 0.5000
0.5000 0.5000 0.5000
0.5000 0.5000 0.0000
0.2091 0.7479 0.7963
0.2357 0.2361 0.7957
0.2486 0.7958 0.2072
0.3031 0.3023 0.1644
0.6969 0.6977 0.8356
0.7514 0.2042 0.7928
0.7643 0.7639 0.2043
0.7909 0.2521 0.2037
```

The following is a DFT calculation (PBE) of a relaxed structure of Ce2TlCu2S6.

Summary:
DOS at the Fermi energy = 5.201 states/eV per cell
Formation energy from raw total energies = -1.019 eV per atom
SG = P-1
Size of the total moment = 0.0 μB/f.u.

Geometry as POSCAR:
```
Ce2TlCu2S6
1.0
7.1221 0.0000 0.0000
-3.5410 6.4517 0.0000
-3.3619 -2.2058 6.1910
Ce Tl Cu S
2 1 2 6
Direct
0.1533 0.3283 0.4732
0.8467 0.6717 0.5268
0.5000 0.0000 0.5000
0.4594 0.6904 0.9331
0.5406 0.3096 0.0669
0.0364 0.4464 0.7419
0.2976 0.0894 0.7324
0.3697 0.2978 0.2590
0.6303 0.7022 0.7410
0.7024 0.9106 0.2676
0.9636 0.5536 0.2581
```

The following is a DFT calculation (PBE) of a relaxed structure of CeTl2Cu2S4.

Summary:
DOS at the Fermi energy = 0.370 states/eV per cell
Formation energy from raw total energies = -0.850 eV per atom
SG = C2/m
Size of the total moment = 0.1 μB/f.u.

Geometry as POSCAR:
```
CeTl2Cu2S4
1.0
7.2255 -1.9928 0.0000
7.2255 1.9928 0.0000
-2.5519 0.0000 7.3005
Ce Tl Cu S
1 2 2 4
Direct
0.0000 0.0000 0.0000
0.1401 0.1401 0.5779
0.8599 0.8599 0.4221
0.3193 0.3193 0.0133
0.6807 0.6807 0.9867
0.1996 0.1996 0.1665
0.4754 0.4754 0.2276
0.5246 0.5246 0.7724
0.8004 0.8004 0.8335
```

The following is a DFT calculation (PBE) of a relaxed structure of Ce2TlCuS5.

Summary:
DOS at the Fermi energy = 1.740 states/eV per cell
Formation energy from raw total energies = -1.278 eV per atom
SG = I4/mcm
Size of the total moment = 0.3 μB/f.u.

Geometry as POSCAR:
```
Ce2TlCuS5
1.0
-3.8835 3.8835 6.7561
3.8835 -3.8835 6.7561
3.8835 3.8835 -6.7561
Ce Tl Cu S
4 2 2 10
Direct
0.1657 0.6657 0.8315
0.3343 0.1657 0.5000
0.6657 0.8343 0.5000
0.8343 0.3343 0.1685
0.2500 0.2500 0.0000
0.7500 0.7500 0.0000
0.2500 0.7500 0.5000
0.7500 0.2500 0.5000
0.0000 0.0000 0.0000
0.0163 0.2295 0.5000
0.2295 0.7295 0.2132
0.2705 0.4837 0.5000
0.4837 0.9837 0.2132
0.5000 0.5000 0.0000
0.5163 0.0163 0.7868
0.7295 0.5163 0.5000
0.7705 0.2705 0.7868
0.9837 0.7705 0.5000
```

The following is a DFT calculation (PBE) of a relaxed structure of CeTlCu2S4.

Summary:
DOS at the Fermi energy = 7.713 states/eV per cell
Formation energy from raw total energies = -0.659 eV per atom
SG = I222
Size of the total moment = 0.0 μB/f.u.

Geometry as POSCAR:
```
CeTlCu2S4
1.0
6.6008 0.0000 0.0000
0.0000 6.7950 0.0000
0.0000 0.0000 7.2847
Ce Tl Cu S
2 2 4 8
Direct
0.0000 0.0000 0.0000
0.5000 0.5000 0.5000
0.0000 0.0000 0.5000
0.5000 0.5000 0.0000
0.0000 0.5000 0.3095
0.0000 0.5000 0.6905
0.5000 0.0000 0.1905
0.5000 0.0000 0.8095
0.2411 0.2683 0.2980
0.2411 0.7317 0.7020
0.2589 0.2317 0.7980
0.2589 0.7683 0.2020
0.7411 0.2317 0.2020
0.7411 0.7683 0.7980
0.7589 0.2683 0.7020
0.7589 0.7317 0.2980
```

The following is a DFT calculation (PBE) of a relaxed structure of CeTlCuS4.

Summary:
DOS at the Fermi energy = 0.191 states/eV per cell
Formation energy from raw total energies = -0.882 eV per atom
SG = P2_1/m
Size of the total moment = 0.0 μB/f.u.

Geometry as POSCAR:
```
CeTlCuS4
1.0
6.9890 0.0000 0.0000
0.0000 5.2660 0.0000
-2.6275 0.0000 9.1183
Ce Tl Cu S
2 2 2 8
Direct
0.2224 0.2500 0.4397
0.7776 0.7500 0.5603
0.2284 0.2500 0.9644
0.7716 0.7500 0.0356
0.2507 0.7500 0.6830
0.7493 0.2500 0.3170
0.0405 0.7500 0.8270
0.0920 0.7500 0.4356
0.4923 0.5455 0.3013
0.4923 0.9545 0.3013
0.5077 0.0455 0.6987
0.5077 0.4545 0.6987
0.9080 0.2500 0.5644
0.9595 0.2500 0.1730
```

The following is a DFT calculation (PBE) of a relaxed structure of CeTmCuS4.

Summary:
Formation energy from raw total energies = -1.497 eV per atom
SG = Imma
Size of the total moment = 0.0 μB/f.u.

Geometry as POSCAR:
```
CeTmCuS4
1.0
-3.8187 3.9506 5.4447
3.8187 -3.9506 5.4447
3.8187 3.9506 -5.4447
Ce Tm Cu S
2 2 2 8
Direct
0.0000 0.0000 0.0000
0.5000 0.0000 0.5000
0.5000 0.0000 0.0000
0.5000 0.5000 0.5000
0.1218 0.3718 0.7500
0.8782 0.6282 0.2500
0.2511 0.2517 0.5005
0.2511 0.7506 0.9995
0.2561 0.7494 0.5067
0.2573 0.2506 0.0067
0.7427 0.7494 0.9933
0.7439 0.2506 0.4933
0.7489 0.2494 0.0005
0.7489 0.7483 0.4995
```